Entry 1:
PdPbNO: optimized geometry, PBE-GGA.

total energy: -5.4748 eV/atom
excess energy over the best structure of this formula in the dataset: 0.00 eV per formula unit

```
16
Lattice="5.4715 0.0000 0.0000 0.0000 8.4996 0.0000 0.0000 0.0000 5.4637" Properties=species:S:1:pos:R:3 pbc="T T T"
Pd 0.3426 0.2935 0.0000
Pd 2.3931 0.2935 2.7318
Pd 3.0784 8.2061 0.0000
Pd 5.1289 8.2061 2.7318
Pb 0.0189 5.5544 4.9658
Pb 2.7169 5.5544 2.2340
Pb 2.7547 2.9451 4.9658
Pb 5.4526 2.9451 2.2340
N 0.8410 1.1026 3.7360
N 1.8947 1.1026 1.0041
N 3.5768 7.3969 3.7360
N 4.6305 7.3969 1.0041
O 0.6138 5.0149 2.8411
O 2.1220 5.0149 0.1093
O 3.3495 3.4847 2.8411
O 4.8578 3.4847 0.1093
```

=====

Entry 2:
PdPbNO: optimized geometry, PBE-GGA.

total energy: -5.2770 eV/atom
excess energy over the best structure of this formula in the dataset: 0.79 eV per formula unit

```
8
Lattice="3.4331 0.0000 0.0000 0.0000 6.6432 0.0000 0.0000 0.0000 5.9645" Properties=species:S:1:pos:R:3 pbc="T T T"
Pd 0.0000 1.3680 0.0000
Pd 0.0000 5.2752 2.9822
Pb 1.7165 2.0873 3.0689
Pb 1.7165 4.5559 0.0866
N 1.7165 2.1762 5.4455
N 1.7165 4.4670 2.4633
O 0.0000 0.7033 2.7615
O 0.0000 5.9400 5.7437
```

=====

Entry 3:
PmPbNO: optimized geometry, PBE-GGA.

total energy: -6.6056 eV/atom
excess energy over the best structure of this formula in the dataset: 1.00 eV per formula unit

```
8
Lattice="5.1228 0.0000 0.0000 0.0000 5.1228 0.0000 0.0000 0.0000 5.1588" Properties=species:S:1:pos:R:3 pbc="T T T"
Pm 1.2807 3.8421 0.0000
Pm 3.8421 1.2807 0.0000
Pb 1.2807 1.2807 2.5552
Pb 3.8421 3.8421 2.6036
N 1.2807 1.2807 0.0969
N 3.8421 3.8421 5.0619
O 1.2807 3.8421 2.5794
O 3.8421 1.2807 2.5794
```

=====

Question: Which value of total energy does entry 3 give?
Answer: -6.6056 eV/atom